[1]
Computed, not measured: CaTbPm3 after structural relaxation at the PBE-GGA level of DFT.

Calculated values
Excess energy over the best structure of this formula in the dataset   268 meV/atom

Cell: 12.356 12.356 12.356 Å, 28.97 28.97 28.97°
Sites, in units of the cell vectors:
Ca1 0.167 0.167 0.167
Ca2 0.833 0.833 0.833
Tb1 0.334 0.334 0.334
Tb2 0.666 0.666 0.666
Pm1 0.082 0.407 0.748
Pm2 0.252 0.918 0.593
Pm3 0.407 0.748 0.082
Pm4 0.593 0.252 0.918
Pm5 0.748 0.082 0.407
Pm6 0.918 0.593 0.252



[2]
Computed, not measured: CaTb4Pm15 after structural relaxation at the PBE-GGA level of DFT.

Cell: 5.156 5.156 25.691 Å, 90.00 90.00 90.00°
Sites, in units of the cell vectors:
Ca1 0.000 0.000 0.000
Tb1 0.000 0.000 0.201
Tb2 0.000 0.000 0.401
Tb3 0.000 0.000 0.599
Tb4 0.000 0.000 0.799
Pm1 0.000 0.500 0.104
Pm2 0.000 0.500 0.301
Pm3 0.000 0.500 0.500
Pm4 0.000 0.500 0.699
Pm5 0.000 0.500 0.896
Pm6 0.500 0.000 0.104
Pm7 0.500 0.000 0.301
Pm8 0.500 0.000 0.500
Pm9 0.500 0.000 0.699
Pm10 0.500 0.000 0.896
Pm11 0.500 0.500 0.000
Pm12 0.500 0.500 0.201
Pm13 0.500 0.500 0.400
Pm14 0.500 0.500 0.600
Pm15 0.500 0.500 0.799



[3]
Computed, not measured: CaTb6Pm12 after structural relaxation at the PBE-GGA level of DFT.

Cell: 8.860 8.860 8.860 Å, 98.29 98.29 98.29°
Sites, in units of the cell vectors:
Ca1 0.000 0.000 0.000
Tb1 0.098 0.098 0.656
Tb2 0.098 0.656 0.098
Tb3 0.344 0.902 0.902
Tb4 0.656 0.098 0.098
Tb5 0.902 0.344 0.902
Tb6 0.902 0.902 0.344
Pm1 0.086 0.358 0.358
Pm2 0.239 0.500 0.761
Pm3 0.239 0.761 0.500
Pm4 0.358 0.086 0.358
Pm5 0.358 0.358 0.086
Pm6 0.500 0.239 0.761
Pm7 0.500 0.761 0.239
Pm8 0.642 0.642 0.914
Pm9 0.642 0.914 0.642
Pm10 0.761 0.239 0.500
Pm11 0.761 0.500 0.239
Pm12 0.914 0.642 0.642



[4]
Computed, not measured: CaTb2Pm after structural relaxation at the PBE-GGA level of DFT.

Calculated values
Excess energy over the best structure of this formula in the dataset   111 meV/atom

Cell: 5.792 5.792 5.792 Å, 60.00 60.00 60.00°
Sites, in units of the cell vectors:
Ca1 0.000 0.000 0.000
Tb1 0.250 0.250 0.250
Tb2 0.750 0.750 0.750
Pm1 0.500 0.500 0.500



[5]
Computed, not measured: CaTbPm2 after structural relaxation at the PBE-GGA level of DFT.

Calculated values
Excess energy over the best structure of this formula in the dataset   0 meV/atom

Cell: 12.354 12.354 12.354 Å, 17.00 17.00 17.00°
Sites, in units of the cell vectors:
Ca1 0.000 0.000 0.000
Tb1 0.500 0.500 0.500
Pm1 0.245 0.245 0.245
Pm2 0.755 0.755 0.755



[6]
Computed, not measured: CaTbPm2 after structural relaxation at the PBE-GGA level of DFT.

Calculated values
Excess energy over the best structure of this formula in the dataset   93 meV/atom

Cell: 5.833 5.833 5.833 Å, 60.00 60.00 60.00°
Sites, in units of the cell vectors:
Ca1 0.000 0.000 0.000
Tb1 0.500 0.500 0.500
Pm1 0.250 0.250 0.250
Pm2 0.750 0.750 0.750



[7]
Computed, not measured: CaTbPm after structural relaxation at the PBE-GGA level of DFT.

Calculated values
Excess energy over the best structure of this formula in the dataset   32 meV/atom

Cell: 16.365 16.365 3.683 Å, 90.00 90.00 167.26°
Sites, in units of the cell vectors:
Ca1 0.051 0.949 0.750
Ca2 0.949 0.051 0.250
Tb1 0.365 0.635 0.750
Tb2 0.635 0.365 0.250
Pm1 0.209 0.791 0.750
Pm2 0.791 0.209 0.250



[8]
Computed, not measured: CaTbPm4 after structural relaxation at the PBE-GGA level of DFT.

Calculated values
Excess energy over the best structure of this formula in the dataset   142 meV/atom

Cell: 9.755 9.755 3.567 Å, 100.46 100.46 39.63°
Sites, in units of the cell vectors:
Ca1 0.000 0.000 0.000
Tb1 0.818 0.818 0.318
Pm1 0.330 0.330 0.830
Pm2 0.424 0.907 0.667
Pm3 0.492 0.492 0.491
Pm4 0.907 0.424 0.667



[9]
Computed, not measured: Ca2TbPm4 after structural relaxation at the PBE-GGA level of DFT.

Calculated values
Excess energy over the best structure of this formula in the dataset   0 meV/atom

Cell: 12.368 12.368 12.368 Å, 163.37 152.33 32.45°
Sites, in units of the cell vectors:
Ca1 0.221 0.221 0.000
Ca2 0.779 0.779 0.000
Tb1 0.500 0.500 0.000
Pm1 0.080 0.580 0.500
Pm2 0.370 0.870 0.500
Pm3 0.630 0.130 0.500
Pm4 0.920 0.420 0.500



[10]
Computed, not measured: CaTb3Pm6 after structural relaxation at the PBE-GGA level of DFT.

Cell: 12.182 3.582 16.308 Å, 90.00 104.17 90.00°
Sites, in units of the cell vectors:
Ca1 0.132 0.250 0.062
Ca2 0.868 0.750 0.938
Tb1 0.113 0.250 0.669
Tb2 0.383 0.250 0.429
Tb3 0.396 0.250 0.217
Tb4 0.604 0.750 0.783
Tb5 0.617 0.750 0.571
Tb6 0.887 0.750 0.331
Pm1 0.113 0.250 0.460
Pm2 0.116 0.750 0.851
Pm3 0.154 0.750 0.273
Pm4 0.340 0.750 0.614
Pm5 0.362 0.250 0.820
Pm6 0.380 0.750 0.020
Pm7 0.620 0.250 0.980
Pm8 0.638 0.750 0.180
Pm9 0.660 0.250 0.386
Pm10 0.846 0.250 0.727
Pm11 0.884 0.250 0.149
Pm12 0.887 0.750 0.540



[11]
Computed, not measured: CaTb4Pm4 after structural relaxation at the PBE-GGA level of DFT.

Cell: 6.639 8.864 11.523 Å, 89.93 88.39 68.25°
Sites, in units of the cell vectors:
Ca1 0.006 0.304 0.427
Ca2 0.994 0.696 0.573
Tb1 0.003 0.086 0.723
Tb2 0.139 0.499 0.126
Tb3 0.440 0.476 0.364
Tb4 0.450 0.106 0.245
Tb5 0.550 0.894 0.755
Tb6 0.560 0.524 0.636
Tb7 0.861 0.501 0.874
Tb8 0.997 0.914 0.277
Pm1 0.208 0.073 0.004
Pm2 0.262 0.695 0.876
Pm3 0.405 0.856 0.468
Pm4 0.461 0.289 0.852
Pm5 0.539 0.711 0.148
Pm6 0.595 0.144 0.532
Pm7 0.738 0.305 0.124
Pm8 0.792 0.927 0.996



[12]
Computed, not measured: CaTb4Pm5 after structural relaxation at the PBE-GGA level of DFT.

Cell: 3.630 3.630 25.797 Å, 90.00 90.00 90.00°
Sites, in units of the cell vectors:
Ca1 0.000 0.000 0.000
Tb1 0.000 0.000 0.204
Tb2 0.000 0.000 0.402
Tb3 0.000 0.000 0.598
Tb4 0.000 0.000 0.796
Pm1 0.500 0.500 0.109
Pm2 0.500 0.500 0.304
Pm3 0.500 0.500 0.500
Pm4 0.500 0.500 0.696
Pm5 0.500 0.500 0.891



| no. | DFT formation energy (eV per atom) | V (A^3/atom) | magnetic moment (Bohr magnetons per cell) |
| --- | --- | --- | --- |
| 1 | 0.369 | 39.146 | 0.000 |
| 2 | 0.026 | 34.150 | 0.000 |
| 3 | 0.187 | 35.329 | 0.000 |
| 4 | 0.168 | 34.344 | 0.226 |
| 5 | 0.040 | 35.162 | 0.000 |
| 6 | 0.133 | 35.076 | 0.000 |
| 7 | 0.074 | 36.240 | 0.000 |
| 8 | 0.188 | 35.409 | 0.000 |
| 9 | 0.126 | 35.896 | 0.000 |
| 10 | 0.074 | 34.496 | 0.000 |
| 11 | 0.149 | 34.974 | 0.000 |
| 12 | 0.026 | 33.987 | 0.000 |